1.
Here is a relaxed Pr2Nd5HoSc crystal from the Alexandria database. Energies are from PBE.

Energy of formation from the pure elements, eV/atom: 0.273
Magnetic moment, μB/atom: 0.000
Symmetry: I4/mcm, No. 140

```
data_Pr2Nd5HoSc
_symmetry_space_group_name_H-M 'P 1'
_symmetry_Int_Tables_number 1
_symmetry_space_group_name_Hall 'P 1'
_cell_length_a 10.4744
_cell_length_b 10.4744
_cell_length_c 10.4744
_cell_angle_alpha 132.27
_cell_angle_beta 132.27
_cell_angle_gamma 69.80
loop_
_atom_site_label
_atom_site_type_symbol
_atom_site_fract_x
_atom_site_fract_y
_atom_site_fract_z
Pr1 Pr 0.1254 0.6254 0.7509
Pr2 Pr 0.3746 0.1254 0.5000
Pr3 Pr 0.6254 0.8746 0.5000
Pr4 Pr 0.8746 0.3746 0.2491
Nd1 Nd 0.0000 0.0000 0.0000
Nd2 Nd 0.0727 0.1340 0.5000
Nd3 Nd 0.1340 0.6340 0.0612
Nd4 Nd 0.3660 0.4273 0.5000
Nd5 Nd 0.4273 0.9273 0.0612
Nd6 Nd 0.5000 0.5000 0.0000
Nd7 Nd 0.5727 0.0727 0.9388
Nd8 Nd 0.6340 0.5727 0.5000
Nd9 Nd 0.8660 0.3660 0.9388
Nd10 Nd 0.9273 0.8660 0.5000
Ho1 Ho 0.2500 0.2500 0.0000
Ho2 Ho 0.7500 0.7500 0.0000
Sc1 Sc 0.2500 0.7500 0.5000
Sc2 Sc 0.7500 0.2500 0.5000
```

---

2.
Here is a relaxed LiPaSb2O7 crystal from the Alexandria database. Energies are from PBE.

Uncorrected formation energy, meV per atom: -1657
Magnetic moment, μB/atom: 0.120
Symmetry: P4/mmm, No. 123

```
data_LiPaSb2O7
_symmetry_space_group_name_H-M 'P 1'
_symmetry_Int_Tables_number 1
_symmetry_space_group_name_Hall 'P 1'
_cell_length_a 3.8860
_cell_length_b 3.8860
_cell_length_c 11.1887
_cell_angle_alpha 90.00
_cell_angle_beta 90.00
_cell_angle_gamma 90.00
loop_
_atom_site_label
_atom_site_type_symbol
_atom_site_fract_x
_atom_site_fract_y
_atom_site_fract_z
Li1 Li 0.0000 0.0000 0.0000
Pa1 Pa 0.0000 0.0000 0.5000
Sb1 Sb 0.5000 0.5000 0.2875
Sb2 Sb 0.5000 0.5000 0.7125
O1 O 0.0000 0.5000 0.3490
O2 O 0.0000 0.5000 0.6510
O3 O 0.5000 0.0000 0.3490
O4 O 0.5000 0.0000 0.6510
O5 O 0.5000 0.5000 0.1189
O6 O 0.5000 0.5000 0.5000
O7 O 0.5000 0.5000 0.8811
```

---

3.
Here is a relaxed Pr7DyHo4 crystal from the Alexandria database. Energies are from PBE.

Energy of formation from the pure elements, eV/atom: 0.212
Magnetic moment, μB/atom: 0.000
Symmetry: C2/m, No. 12
Offset from the most stable computed form, meV/atom: 204

```
data_Pr7DyHo4
_symmetry_space_group_name_H-M 'P 1'
_symmetry_Int_Tables_number 1
_symmetry_space_group_name_Hall 'P 1'
_cell_length_a 8.6753
_cell_length_b 8.6753
_cell_length_c 9.4905
_cell_angle_alpha 114.80
_cell_angle_beta 114.80
_cell_angle_gamma 40.81
loop_
_atom_site_label
_atom_site_type_symbol
_atom_site_fract_x
_atom_site_fract_y
_atom_site_fract_z
Pr1 Pr 0.0000 0.0000 0.0000
Pr2 Pr 0.2873 0.2873 0.7622
Pr3 Pr 0.2892 0.2892 0.1161
Pr4 Pr 0.4144 0.4144 0.5519
Pr5 Pr 0.5856 0.5856 0.4481
Pr6 Pr 0.7108 0.7108 0.8839
Pr7 Pr 0.7127 0.7127 0.2378
Dy1 Dy 0.5000 0.5000 0.0000
Ho1 Ho 0.0701 0.0701 0.6978
Ho2 Ho 0.1701 0.1701 0.3825
Ho3 Ho 0.8299 0.8299 0.6175
Ho4 Ho 0.9299 0.9299 0.3022
```

---

4.
Here is a relaxed La5HgRh crystal from the Alexandria database. Energies are from PBE.

Energy of formation from the pure elements, eV/atom: -0.315
Magnetic moment, μB/atom: 0.000
Symmetry: C2/c, No. 15

```
data_La5HgRh
_symmetry_space_group_name_H-M 'P 1'
_symmetry_Int_Tables_number 1
_symmetry_space_group_name_Hall 'P 1'
_cell_length_a 6.3307
_cell_length_b 6.3307
_cell_length_c 12.0600
_cell_angle_alpha 103.03
_cell_angle_beta 103.03
_cell_angle_gamma 74.07
loop_
_atom_site_label
_atom_site_type_symbol
_atom_site_fract_x
_atom_site_fract_y
_atom_site_fract_z
La1 La 0.0245 0.9755 0.7500
La2 La 0.0483 0.4366 0.1360
La3 La 0.2116 0.5578 0.4492
La4 La 0.4366 0.0483 0.6360
La5 La 0.4422 0.7884 0.0508
La6 La 0.5578 0.2116 0.9492
La7 La 0.5634 0.9517 0.3640
La8 La 0.7884 0.4422 0.5508
La9 La 0.9517 0.5634 0.8640
La10 La 0.9755 0.0245 0.2500
Hg1 Hg 0.4412 0.5588 0.7500
Hg2 Hg 0.5588 0.4412 0.2500
Rh1 Rh 0.0000 0.0000 0.0000
Rh2 Rh 0.0000 0.0000 0.5000
```

---

5.
Here is a relaxed CsBSN2 crystal from the Alexandria database. Energies are from PBE.

Uncorrected formation energy, meV per atom: 3264
Magnetic moment, μB/atom: 0.630
Symmetry: P4/mmm, No. 123

```
data_CsBSN2
_symmetry_space_group_name_H-M 'P 1'
_symmetry_Int_Tables_number 1
_symmetry_space_group_name_Hall 'P 1'
_cell_length_a 4.4594
_cell_length_b 4.4594
_cell_length_c 6.6110
_cell_angle_alpha 90.00
_cell_angle_beta 90.00
_cell_angle_gamma 90.00
loop_
_atom_site_label
_atom_site_type_symbol
_atom_site_fract_x
_atom_site_fract_y
_atom_site_fract_z
Cs1 Cs 0.0000 0.0000 0.0000
B1 B 0.5000 0.5000 0.5000
S1 S 0.0000 0.0000 0.5000
N1 N 0.0000 0.5000 0.0000
N2 N 0.5000 0.0000 0.0000
```

---

6.
Here is a relaxed Pm4Nd4Er3 crystal from the Alexandria database. Energies are from PBE.

Energy of formation from the pure elements, eV/atom: 0.056
Magnetic moment, μB/atom: 0.000
Symmetry: P-1, No. 2
Offset from the most stable computed form, meV/atom: 0

```
data_Pm4Nd4Er3
_symmetry_space_group_name_H-M 'P 1'
_symmetry_Int_Tables_number 1
_symmetry_space_group_name_Hall 'P 1'
_cell_length_a 3.5688
_cell_length_b 5.7208
_cell_length_c 18.3757
_cell_angle_alpha 81.12
_cell_angle_beta 84.43
_cell_angle_gamma 90.00
loop_
_atom_site_label
_atom_site_type_symbol
_atom_site_fract_x
_atom_site_fract_y
_atom_site_fract_z
Pm1 Pm 0.0899 0.0915 0.3193
Pm2 Pm 0.2325 0.7325 0.0352
Pm3 Pm 0.7675 0.2675 0.9648
Pm4 Pm 0.9101 0.9085 0.6807
Nd1 Nd 0.0457 0.5475 0.4080
Nd2 Nd 0.1794 0.1801 0.1404
Nd3 Nd 0.8206 0.8199 0.8596
Nd4 Nd 0.9543 0.4525 0.5920
Er1 Er 0.3648 0.3637 0.7716
Er2 Er 0.5000 0.0000 0.5000
Er3 Er 0.6352 0.6363 0.2284
```

---

7.
Here is a relaxed Tb8Pm2Th3 crystal from the Alexandria database. Energies are from PBE.

Energy of formation from the pure elements, eV/atom: 0.266
Magnetic moment, μB/atom: 0.000
Symmetry: C2/m, No. 12
Offset from the most stable computed form, meV/atom: 94

```
data_Tb8Pm2Th3
_symmetry_space_group_name_H-M 'P 1'
_symmetry_Int_Tables_number 1
_symmetry_space_group_name_Hall 'P 1'
_cell_length_a 10.8677
_cell_length_b 10.8677
_cell_length_c 5.5793
_cell_angle_alpha 90.05
_cell_angle_beta 90.05
_cell_angle_gamma 42.52
loop_
_atom_site_label
_atom_site_type_symbol
_atom_site_fract_x
_atom_site_fract_y
_atom_site_fract_z
Tb1 Tb 0.0994 0.6893 0.9995
Tb2 Tb 0.1659 0.1659 0.5010
Tb3 Tb 0.3107 0.9006 0.0005
Tb4 Tb 0.3743 0.3743 0.5002
Tb5 Tb 0.6257 0.6257 0.4998
Tb6 Tb 0.6893 0.0994 0.9995
Tb7 Tb 0.8341 0.8341 0.4990
Tb8 Tb 0.9006 0.3107 0.0005
Pm1 Pm 0.2605 0.2605 0.0012
Pm2 Pm 0.7395 0.7395 0.9988
Th1 Th 0.2043 0.7957 0.5000
Th2 Th 0.5000 0.5000 0.0000
Th3 Th 0.7957 0.2043 0.5000
```

---

8.
Here is a relaxed ZnGaSi2Ge crystal from the Alexandria database. Energies are from PBE.

Uncorrected formation energy, meV per atom: 792
Magnetic moment, μB/atom: 0.000
Symmetry: P4/mmm, No. 123

```
data_ZnGaSi2Ge
_symmetry_space_group_name_H-M 'P 1'
_symmetry_Int_Tables_number 1
_symmetry_space_group_name_Hall 'P 1'
_cell_length_a 4.6859
_cell_length_b 4.6859
_cell_length_c 4.7903
_cell_angle_alpha 90.00
_cell_angle_beta 90.00
_cell_angle_gamma 90.00
loop_
_atom_site_label
_atom_site_type_symbol
_atom_site_fract_x
_atom_site_fract_y
_atom_site_fract_z
Zn1 Zn 0.0000 0.0000 0.0000
Ga1 Ga 0.0000 0.0000 0.5000
Si1 Si 0.0000 0.5000 0.0000
Si2 Si 0.5000 0.0000 0.0000
Ge1 Ge 0.5000 0.5000 0.5000
```

---

9.
Here is a relaxed Ca2PmTe3 crystal from the Alexandria database. Energies are from PBE.

Uncorrected formation energy, meV per atom: -1544
Magnetic moment, μB/atom: 0.000
Symmetry: Immm, No. 71

```
data_Ca2PmTe3
_symmetry_space_group_name_H-M 'P 1'
_symmetry_Int_Tables_number 1
_symmetry_space_group_name_Hall 'P 1'
_cell_length_a 7.7999
_cell_length_b 7.7999
_cell_length_c 7.7999
_cell_angle_alpha 146.71
_cell_angle_beta 131.87
_cell_angle_gamma 59.78
loop_
_atom_site_label
_atom_site_type_symbol
_atom_site_fract_x
_atom_site_fract_y
_atom_site_fract_z
Ca1 Ca 0.1672 0.1672 0.0000
Ca2 Ca 0.8328 0.8328 0.0000
Pm1 Pm 0.5000 0.5000 0.0000
Te1 Te 0.0000 0.5000 0.5000
Te2 Te 0.3325 0.8325 0.5000
Te3 Te 0.6675 0.1675 0.5000
```

---

10.
Here is a relaxed ZnSnRu2 crystal from the Alexandria database. Energies are from PBE.

Energy of formation from the pure elements, eV/atom: 0.416
Magnetic moment, μB/atom: 0.227
Symmetry: I-42d, No. 122

```
data_ZnSnRu2
_symmetry_space_group_name_H-M 'P 1'
_symmetry_Int_Tables_number 1
_symmetry_space_group_name_Hall 'P 1'
_cell_length_a 9.4387
_cell_length_b 9.4387
_cell_length_c 9.4387
_cell_angle_alpha 155.48
_cell_angle_beta 155.48
_cell_angle_gamma 34.96
loop_
_atom_site_label
_atom_site_type_symbol
_atom_site_fract_x
_atom_site_fract_y
_atom_site_fract_z
Zn1 Zn 0.0000 0.0000 0.0000
Zn2 Zn 0.7500 0.2500 0.5000
Sn1 Sn 0.2500 0.7500 0.5000
Sn2 Sn 0.5000 0.5000 0.0000
Ru1 Ru 0.0513 0.6250 0.9263
Ru2 Ru 0.3750 0.3013 0.4263
Ru3 Ru 0.6987 0.1250 0.0737
Ru4 Ru 0.8750 0.9487 0.5737
```

---

11.
Here is a relaxed Dy4Er6Tm crystal from the Alexandria database. Energies are from PBE.

Energy of formation from the pure elements, eV/atom: 0.460
Magnetic moment, μB/atom: 0.000
Symmetry: I-42m, No. 121
Offset from the most stable computed form, meV/atom: 329

```
data_Dy4Er6Tm
_symmetry_space_group_name_H-M 'P 1'
_symmetry_Int_Tables_number 1
_symmetry_space_group_name_Hall 'P 1'
_cell_length_a 8.4079
_cell_length_b 8.4079
_cell_length_c 8.4079
_cell_angle_alpha 127.20
_cell_angle_beta 127.20
_cell_angle_gamma 77.93
loop_
_atom_site_label
_atom_site_type_symbol
_atom_site_fract_x
_atom_site_fract_y
_atom_site_fract_z
Dy1 Dy 0.2538 0.2538 0.6632
Dy2 Dy 0.4094 0.7462 0.0000
Dy3 Dy 0.5906 0.5906 0.3368
Dy4 Dy 0.7462 0.4094 0.0000
Er1 Er 0.0000 0.5000 0.5000
Er2 Er 0.0527 0.5789 0.0000
Er3 Er 0.4211 0.4211 0.4739
Er4 Er 0.5000 0.0000 0.5000
Er5 Er 0.5789 0.0527 0.0000
Er6 Er 0.9473 0.9473 0.5261
Tm1 Tm 0.0000 0.0000 0.0000
```

---

12.
Here is a relaxed CaMgCr2 crystal from the Alexandria database. Energies are from PBE.

Energy of formation from the pure elements, eV/atom: 0.696
Magnetic moment, μB/atom: 2.113
Symmetry: P4/mmm, No. 123

```
data_CaMgCr2
_symmetry_space_group_name_H-M 'P 1'
_symmetry_Int_Tables_number 1
_symmetry_space_group_name_Hall 'P 1'
_cell_length_a 4.6530
_cell_length_b 4.6530
_cell_length_c 4.1646
_cell_angle_alpha 90.00
_cell_angle_beta 90.00
_cell_angle_gamma 90.00
loop_
_atom_site_label
_atom_site_type_symbol
_atom_site_fract_x
_atom_site_fract_y
_atom_site_fract_z
Ca1 Ca 0.0000 0.0000 0.0000
Mg1 Mg 0.5000 0.5000 0.0000
Cr1 Cr 0.0000 0.5000 0.5000
Cr2 Cr 0.5000 0.0000 0.5000
```

---

Record-wise V values, in A^3/atom: 34.28, 15.36, 34.79, 31.85, 26.29, 33.53, 34.26, 21.04, 32.04, 18.09, 33.23, 22.54